Sr2CrO4: relaxed, PBE+U.

Space group   I4/mmm (139)
Relative energy among the computed polymorphs   0.22 eV per formula unit
N(E_F)   0.555 states/eV per atom
Calculated total energy   -6.7552 eV/atom

Lattice parameters (Å, degrees): 3.8296 3.8296 6.9607 105.97 105.97 90.00
Last column: nearest neighbours and their distance in Å.
Positions (direct):
1 O 0.8416 0.8416 0.6833  1 Cr 2.03
2 O 0.1584 0.1584 0.3167  1 Cr 2.03
3 O 0.0000 0.5000 0.0000  2 Cr 1.91
4 O 0.5000 0.0000 0.0000  2 Cr 1.91
5 Cr 0.0000 0.0000 0.0000  6 O 1.91-2.03
6 Sr 0.6473 0.6473 0.2947  9 O 2.49-2.71
7 Sr 0.3527 0.3527 0.7053  9 O 2.49-2.71